Compound: CaLa2Te4
Source: Alexandria via LeMat-Bulk
Functional: PBE
Structure: optimized geometry

Cell: 8.381 8.381 8.381 Å, 109.83 109.83 108.75°
Atoms (fractional coordinates):
Ca: 0.000 0.000 0.000
Ca: 0.750 0.250 0.500
La: 0.248 0.125 0.623
La: 0.375 0.752 0.877
La: 0.502 0.625 0.377
La: 0.875 0.498 0.123
Te: 0.123 0.376 0.896
Te: 0.126 0.373 0.396
Te: 0.270 0.874 0.247
Te: 0.480 0.227 0.104
Te: 0.624 0.520 0.747
Te: 0.627 0.023 0.753
Te: 0.773 0.877 0.253
Te: 0.977 0.730 0.604

E_form (uncorrected) in eV/atom: -1.608
Excess energy over the best structure of this formula in the dataset in eV per formula unit: 0.000
SG: I-42d, No. 122

=====

Compound: CaLa2Te
Source: Alexandria via LeMat-Bulk
Functional: PBE
Structure: optimized geometry

Cell: 4.087 4.429 7.172 Å, 90.00 94.62 90.00°
Atoms (fractional coordinates):
Ca: 0.000 0.000 0.000
La: 0.541 0.500 0.316
La: 0.944 0.000 0.507
Te: 0.472 0.500 0.783

E_form (uncorrected) in eV/atom: -0.579
SG: Pm, No. 6

=====

Compound: CaLa2Te
Source: Alexandria via LeMat-Bulk
Functional: PBE
Structure: optimized geometry

Cell: 3.957 3.957 8.917 Å, 90.00 90.00 90.00°
Atoms (fractional coordinates):
Ca: 0.000 0.000 0.000
La: 0.000 0.000 0.583
La: 0.500 0.500 0.300
Te: 0.500 0.500 0.804

E_form (uncorrected) in eV/atom: -0.612
SG: P4mm, No. 99

=====

Compound: CaLa2Te
Source: Alexandria via LeMat-Bulk
Functional: PBE
Structure: optimized geometry

Cell: 6.635 6.635 6.635 Å, 137.44 137.44 61.76°
Atoms (fractional coordinates):
Ca: 0.000 0.000 0.000
La: 0.250 0.750 0.500
La: 0.750 0.250 0.500
Te: 0.500 0.500 0.000

E_form (uncorrected) in eV/atom: -0.493
SG: I4/mmm, No. 139

=====

Compound: CaLa2Te
Source: Alexandria via LeMat-Bulk
Functional: PBE
Structure: optimized geometry

Cell: 7.443 7.443 7.443 Å, 101.11 101.11 127.91°
Atoms (fractional coordinates):
Ca: 0.000 0.000 0.000
Ca: 0.750 0.250 0.500
La: 0.169 0.125 0.544
La: 0.375 0.831 0.956
La: 0.581 0.625 0.456
La: 0.875 0.419 0.044
Te: 0.250 0.750 0.500
Te: 0.500 0.500 0.000

E_form (uncorrected) in eV/atom: -0.470
SG: I-42d, No. 122

=====

Compound: CaLaTe
Source: Alexandria via LeMat-Bulk
Functional: PBE
Structure: optimized geometry

Cell: 5.228 5.228 4.306 Å, 90.00 90.00 120.00°
Atoms (fractional coordinates):
Ca: 0.000 0.000 0.000
La: 0.667 0.333 0.495
Te: 0.333 0.667 0.831

E_form (uncorrected) in eV/atom: -0.662
Excess energy over the best structure of this formula in the dataset in eV per formula unit: 0.640
SG: P3m1, No. 156

=====

Q: What is the E_form (uncorrected) in the third record?
A: -0.612 eV/atom